[1]
Compound: K3Sb2Au3
Source: Alexandria
Functional: PBEsol
Structure: relaxed

It has space group R-3m (No. 166, hexagonal axes), with a = 6.0965 Å, b = 6.0965 Å, c = 21.5595 Å, α = 90.00°, β = 90.00° and γ = 120.00°. The distinct sites, in fractional coordinates, are K at (0.0000, 0.0000, 0.0000), K at (0.0000, 0.0000, 0.4196), Sb at (0.0000, 0.0000, 0.2601) and Au at (0.0000, 0.5000, 0.5000).

Its crystal system is trigonal. The uncorrected formation energy is -40.51 kJ/mol of atoms. As for the volume: 231 Å³/f.u.

***

[2]
Compound: KSb2Au
Source: Alexandria
Functional: PBEsol
Structure: relaxed

It has space group Cmmm (No. 65), with a = 4.256 Å, b = 5.819 Å, c = 8.855 Å, α = 90.00°, β = 90.00° and γ = 90.00°. The distinct sites, in fractional coordinates, are K at (0.000, 0.000, 0.000), Sb at (0.000, 0.500, 0.306) and Au at (0.000, 0.000, 0.500).

Its crystal system is orthorhombic. The uncorrected formation energy is -6.19 kJ/mol of atoms. Its energy above the most stable polymorph in this dataset is 0.149 eV per atom. As for the volume: 110 Å³/f.u.

***

[3]
Compound: KSbAu2
Source: Alexandria
Functional: PBEsol
Structure: relaxed

It has space group Pm (No. 6), with a = 4.976 Å, b = 4.712 Å, c = 5.247 Å, α = 90.00°, β = 99.58° and γ = 90.00°. The distinct sites, in fractional coordinates, are K at (0.000, 0.000, 0.000), Sb at (0.659, 0.500, 0.403), Au at (0.178, 0.500, 0.575) and Au at (0.465, 0.000, 0.530).

Its crystal system is monoclinic. The uncorrected formation energy is -17.92 kJ/mol of atoms. As for the volume: 121 Å³/f.u.

***

[4]
Compound: K2SbAu2
Source: Alexandria
Functional: PBEsol
Structure: relaxed

It has space group I4/mmm (No. 139), with a = 4.395 Å, b = 4.395 Å, c = 14.054 Å, α = 90.00°, β = 90.00° and γ = 90.00°. The distinct sites, in fractional coordinates, are K at (0.000, 0.500, 0.250), Sb at (0.000, 0.000, 0.000) and Au at (0.000, 0.000, 0.408).

Its crystal system is tetragonal. The uncorrected formation energy is 27.05 kJ/mol of atoms. As for the volume: 136 Å³/f.u.

***

[5]
Compound: KSbAu2
Source: Alexandria
Functional: PBEsol
Structure: relaxed

It has space group I-4m2 (No. 119), with a = 4.457 Å, b = 4.457 Å, c = 8.860 Å, α = 90.00°, β = 90.00° and γ = 90.00°. The distinct sites, in fractional coordinates, are K at (0.000, 0.000, 0.000), Sb at (0.000, 0.500, 0.250), Au at (0.000, 0.000, 0.500) and Au at (0.000, 0.500, 0.750).

Its crystal system is tetragonal. The uncorrected formation energy is 10.62 kJ/mol of atoms. As for the volume: 88 Å³/f.u.

***

[6]
Compound: KSbAu2
Source: Alexandria
Functional: PBEsol
Structure: relaxed

It has space group Cm (No. 8), with a = 8.263 Å, b = 4.764 Å, c = 6.508 Å, α = 90.00°, β = 114.85° and γ = 90.00°. The distinct sites, in fractional coordinates, are K at (0.000, 0.000, 0.000), Sb at (0.192, 0.000, 0.577), Au at (0.312, 0.500, 0.439) and Au at (0.489, 0.000, 0.467).

Its crystal system is monoclinic. The uncorrected formation energy is -21.23 kJ/mol of atoms. As for the volume: 116 Å³/f.u.